## La4CdAg (PBE-GGA)

Data for a relaxed structure of La4CdAg.

Results
Magnetization   1.379 Bohr magnetons per cell
Formation energy   -0.182 eV per atom
Total energy   -24.6 eV/cell
Space group   No. 123

Cell: 3.8683 3.8683 12.7864 Å, 90.00 90.00 90.00°
Closest atoms and distances in Å follow each position.
Positions (direct):
La 0.5000 0.5000 0.8428  4 Cd 3.39, 4 La 3.73
La 0.5000 0.5000 0.1572  4 Cd 3.39, 4 La 3.73
La 0.0000 0.0000 0.6449  4 Ag 3.30
La 0.0000 0.0000 0.3551  4 Ag 3.30
Cd 0.0000 0.0000 0.0000  8 La 3.39
Ag 0.5000 0.5000 0.5000  8 La 3.30